Below is CaCrF2 after structural relaxation, with properties calculated at the PBE with a Hubbard U level.

Computed properties:
**Uncorrected energy**: -5.45 eV per atom
**Offset from the most stable computed form**: 0.000 eV per atom
**SG**: I-42d

a = 5.5116 Å, b = 5.5116 Å, c = 6.8551 Å
α = 66.30°, β = 66.30°, γ = 90.00°
Site moments in Bohr magnetons follow the coordinates.
Element x y z (fractional)
Ca 0.5000 0.5000 0.0000  0.02
Ca 0.2500 0.7500 0.5000  0.02
F 0.8750 0.8036 0.7500  0.04
F 0.1964 0.6250 0.2500  0.04
F 0.3750 0.4464 0.7500  0.04
F 0.5536 0.1250 0.2500  0.04
Cr 0.0000 0.0000 0.0000  4.56
Cr 0.7500 0.2500 0.5000  4.56